PBE DyTmLuMg, optimized geometry; crystal system = cubic; energy relative to the elements = 5.2 kJ per mole of atoms; V = 28.4 A^3/atom; raw total energy = -14.97 eV for the cell shown
1.0
0.000 3.844 3.844
3.844 0.000 3.844
3.844 3.844 0.000
Dy Tm Lu Mg
1 1 1 1
Direct
0.000 0.000 0.000
0.250 0.250 0.250
0.500 0.500 0.500
0.750 0.750 0.750

PBE LiLaPr2Cd4, optimized geometry; crystal system = trigonal; energy relative to the elements = -26.5 kJ per mole of atoms; V = 27.8 A^3/atom; raw total energy = -22.26 eV for the cell shown
1.0
2.692 1.554 8.846
-2.692 1.554 8.846
0.000 -3.109 8.846
Li La Pr Cd
1 1 2 4
Direct
0.000 0.000 0.000
0.500 0.500 0.500
0.253 0.253 0.253
0.747 0.747 0.747
0.119 0.119 0.119
0.373 0.373 0.373
0.627 0.627 0.627
0.881 0.881 0.881

PBE LaYZn2Sn, optimized geometry; crystal system = tetragonal; energy relative to the elements = 84.7 kJ per mole of atoms; V = 34.2 A^3/atom; raw total energy = -13.55 eV for the cell shown
1.0
5.440 0.000 0.000
0.000 5.440 0.000
0.000 0.000 5.780
La Y Zn Sn
1 1 2 1
Direct
0.000 0.000 0.000
0.000 0.000 0.500
0.000 0.500 0.000
0.500 0.000 0.000
0.500 0.500 0.500